Record 1
Below is a relaxed structure of Zr4GeN, with properties calculated at the PBE level.

The structure in POSCAR format:
```
Zr4GeN
1.0
6.841 -0.021 0.000
-2.782 6.250 0.000
-2.030 -3.115 5.743
Zr Ge N
8 2 2
Cartesian
-0.535 2.254 1.679
2.662 0.793 3.945
1.041 -0.369 1.074
4.462 -0.380 1.798
-2.533 3.556 4.064
4.053 -2.332 4.669
2.885 2.244 1.192
-1.142 0.431 4.551
-0.430 4.599 2.872
2.990 4.588 0.000
1.073 1.646 0.000
-2.348 1.657 2.872
```

Summary:
SG ... I4_1md (109)
Magnetic moment ... 0.000 μB/f.u.
Formation energy (no corrections) ... -0.661 eV per atom
Raw total energy ... -8.517 eV/atom

---

Record 2
Below is a relaxed structure of ZrGe2N, with properties calculated at the PBE level.

The structure in POSCAR format:
```
ZrGe2N
1.0
-0.445 4.133 -4.791
0.089 -4.798 -4.148
-3.432 -0.517 -4.326
Ge Zr N
4 2 2
Cartesian
-2.894 -0.533 -10.689
-2.699 -1.073 -6.974
-0.898 -2.235 -4.709
-1.085 1.478 -4.158
0.000 0.000 0.000
-2.028 1.642 -6.793
-0.178 -0.332 -4.469
-1.761 -2.824 -6.472
```

Summary:
SG ... I-42d (122)
Magnetic moment ... 0.000 μB/f.u.
Formation energy (no corrections) ... 0.169 eV per atom
Raw total energy ... -6.358 eV/atom

---

Record 3
Below is a relaxed structure of ZrGeN2, with properties calculated at the PBE level.

The structure in POSCAR format:
```
ZrGeN2
1.0
1.156 -4.878 4.038
4.097 -4.097 2.804
2.838 -2.346 5.280
Ge N Zr
1 2 1
Cartesian
0.000 0.000 0.000
0.841 -1.176 1.260
7.249 -10.144 10.863
4.045 -5.660 6.061
```

Summary:
SG ... R-3m (166)
Magnetic moment ... 0.000 μB/f.u.
Formation energy (no corrections) ... -0.517 eV per atom
Raw total energy ... -7.971 eV/atom

---

Record 4
Below is a relaxed structure of ZrGeN, with properties calculated at the PBE level.

The structure in POSCAR format:
```
ZrGeN
1.0
-1.801 2.947 0.450
-1.402 1.632 -2.735
-4.863 -2.810 -1.347
N Ge Zr
1 1 1
Cartesian
-1.736 -0.213 -0.976
-5.261 -0.249 -1.407
-4.277 2.589 -2.446
```

Summary:
SG ... P1 (1)
Magnetic moment ... 0.000 μB/f.u.
Formation energy (no corrections) ... -0.498 eV per atom
Raw total energy ... -7.661 eV/atom

---

Record 5
Below is a relaxed structure of ZrGe3N, with properties calculated at the PBE level.

The structure in POSCAR format:
```
ZrGe3N
1.0
4.329 0.000 0.000
0.000 4.329 0.000
0.000 0.000 4.329
Zr Ge N
1 3 1
Cartesian
2.165 2.165 2.165
0.000 0.000 2.165
2.165 0.000 0.000
0.000 2.165 0.000
0.000 0.000 0.000
```

Summary:
SG ... Pm-3m (221)
Magnetic moment ... 0.000 μB/f.u.
Formation energy (no corrections) ... 0.359 eV per atom
Raw total energy ... -5.786 eV/atom

---

Record 6
Below is a relaxed structure of ZrGeN, with properties calculated at the PBE level.

The structure in POSCAR format:
```
ZrGeN
1.0
3.154 0.000 0.000
-0.001 3.154 0.000
1.589 -1.590 4.987
Ge N Zr
1 1 1
Cartesian
1.685 1.116 3.777
1.685 1.116 1.577
3.263 -0.462 1.812
```

Summary:
SG ... Cm (8)
Magnetic moment ... 0.000 μB/f.u.
Formation energy (no corrections) ... -0.685 eV per atom
Raw total energy ... -7.849 eV/atom